Entry 1:
DFT (PBE) results for a relaxed TeRu2Br crystal.

Output
SG: F-43m, No. 216
Spin magnetization, μB/cell: 0.7
ΔE_f (raw), eV/f.u.: 4.23
Energy above the lowest structure with this stoichiometry, meV per atom: 680

a b c (Å): 4.7069 4.7069 4.7069
angles (deg): 60.00 60.00 60.00
Closest atoms and distances in Å follow each position.
Atoms (fractional coordinates):
Ru (0.7500, 0.7500, 0.7500)  4 Br 2.88, 4 Ru 2.88
Ru (0.0000, 0.0000, 0.0000)  4 Ru 2.88, 4 Te 2.88
Te (0.2500, 0.2500, 0.2500)  4 Br 2.88, 4 Ru 2.88
Br (0.5000, 0.5000, 0.5000)  4 Ru 2.88, 4 Te 2.88

Entry 2:
DFT (PBE) results for a relaxed Be2Nb2V crystal.

Output
SG: P4/mbm, No. 127
Energy of formation from the pure elements, meV/atom: -120
Spin magnetization, μB/cell: 0.0

a b c (Å): 6.3402 6.3402 3.3412
angles (deg): 90.00 90.00 90.00
Closest atoms and distances in Å follow each position.
Atoms (fractional coordinates):
Nb (0.3203, 0.1797, 0.5000)  6 Be 2.47-2.55
Nb (0.8203, 0.3203, 0.5000)  6 Be 2.47-2.55
Nb (0.6797, 0.8203, 0.5000)  6 Be 2.47-2.55
Nb (0.1797, 0.6797, 0.5000)  6 Be 2.47-2.55
Be (0.3830, 0.8830, 0.0000)  1 Be 2.10
Be (0.6170, 0.1170, 0.0000)  1 Be 2.10
Be (0.1170, 0.3830, 0.0000)  1 Be 2.10
Be (0.8830, 0.6170, 0.0000)  1 Be 2.10
V (0.5000, 0.5000, 0.0000)  4 Be 2.54
V (0.0000, 0.0000, 0.0000)  4 Be 2.54

Entry 3:
DFT (PBE) results for a relaxed Tb5DyMg crystal.

Output
SG: C2/m, No. 12
Energy of formation from the pure elements, meV/atom: 17
Spin magnetization, μB/cell: 0.0

a b c (Å): 6.5885 6.5880 13.1843
angles (deg): 94.85 85.15 130.77
Closest atoms and distances in Å follow each position.
Atoms (fractional coordinates):
Dy (0.1364, 0.8636, 0.6961)  1 Mg 3.18, 4 Tb 3.36-3.48
Dy (0.8636, 0.1364, 0.3039)  1 Mg 3.18, 4 Tb 3.36-3.48
Tb (0.2583, 0.7417, 0.9255)  1 Mg 3.16, 4 Tb 3.36-3.37, 1 Dy 3.48
Tb (0.5653, 0.4347, 0.3674)  2 Mg 3.31, 1 Dy 3.59, 6 Tb 3.59-3.69
Tb (0.4347, 0.5653, 0.6326)  2 Mg 3.31, 1 Dy 3.59, 6 Tb 3.59-3.69
Tb (0.4347, 0.5653, 0.1328)  2 Mg 3.31, 5 Tb 3.59-3.70, 2 Dy 3.60
Tb (0.7415, 0.2585, 0.5743)  1 Mg 3.16, 2 Dy 3.36, 3 Tb 3.37-3.48
Tb (0.1364, 0.8636, 0.1962)  1 Mg 3.19, 3 Tb 3.36-3.48, 1 Dy 3.44
Tb (0.8636, 0.1364, 0.8038)  1 Mg 3.19, 3 Tb 3.36-3.48, 1 Dy 3.44
Tb (0.5653, 0.4347, 0.8672)  2 Mg 3.31, 5 Tb 3.59-3.70, 2 Dy 3.60
Tb (0.2585, 0.7415, 0.4257)  1 Mg 3.16, 2 Dy 3.36, 3 Tb 3.37-3.48
Tb (0.7417, 0.2583, 0.0745)  1 Mg 3.16, 4 Tb 3.36-3.37, 1 Dy 3.48
Mg (0.0000, 0.0000, 0.5000)  6 Tb 3.16-3.31, 2 Dy 3.18
Mg (0.0000, 0.0000, 0.0000)  8 Tb 3.16-3.31